Record 1
Computed, not measured: an optimized crystal structure of La2Y6HoEr3 at the GGA-PBE level of DFT.

Cell lengths 6.209, 10.749, 11.853 Å; angles 90.00, 100.03, 90.00 degrees
Space group C2/m (No. 12)
Symmetry-distinct sites (fractional):
La 0.000 0.167 0.000
Y 0.247 0.500 0.745
Y 0.249 0.166 0.745
Ho 0.000 0.500 0.000
Er 0.000 0.000 0.500
Er 0.000 0.334 0.500

Properties
Formation energy from the elements: 0.03 eV/atom
Calculated total energy: -0.2040 Ha/atom

---

Record 2
Computed, not measured: an optimized crystal structure of LaY2HoEr2 at the GGA-PBE level of DFT.

Cell lengths 6.932, 9.854, 5.644 Å; angles 90.00, 90.00, 90.00 degrees
Space group Pnnm (No. 58)
Symmetry-distinct sites (fractional):
La 0.000 0.000 0.000
Y 0.248 0.333 0.000
Ho 0.000 0.500 0.500
Er 0.249 0.667 0.000

Properties
Formation energy from the elements: 0.07 eV/atom
Calculated total energy: -0.1907 Ha/atom